Record 1
# LaGa3NiRh

An optimized crystal structure of LaGa3NiRh (PBE, the Alexandria database).

abc: 7.0598 6.1880 6.3262
angles: 119.28 90.00 90.00
Sites, in units of the cell vectors:
La 0.7500 0.2596 0.5193
La 0.2500 0.7404 0.4807
Ga 0.2500 0.2119 0.4239
Ga 0.0000 0.2538 0.0000
Ga 0.5000 0.7462 0.0000
Ga 0.5000 0.2538 0.0000
Ga 0.0000 0.7462 0.0000
Ga 0.7500 0.7881 0.5761
Ni 0.2500 0.0066 0.0132
Ni 0.7500 0.9934 0.9868
Rh 0.2500 0.4237 0.8474
Rh 0.7500 0.5763 0.1526

Summary:
* crystal system: orthorhombic
* raw total energy: -5.0074 eV/atom

Record 2
# LaGa2Ni2Rh

An optimized crystal structure of LaGa2Ni2Rh (PBE, the Alexandria database).

abc: 4.7014 4.7014 5.3107
angles: 90.00 90.00 90.00
Sites, in units of the cell vectors:
La 0.0000 0.0000 0.5000
Ga 0.5000 0.0000 0.0000
Ga 0.0000 0.5000 0.0000
Ni 0.5000 0.5000 0.7593
Ni 0.5000 0.5000 0.2407
Rh 0.0000 0.0000 0.0000

Summary:
* crystal system: tetragonal
* raw total energy: -5.2032 eV/atom

Record 3
# La2Ga4NiRh3

An optimized crystal structure of La2Ga4NiRh3 (PBE, the Alexandria database).

abc: 4.2956 4.2956 10.2692
angles: 90.00 90.00 90.00
Sites, in units of the cell vectors:
La 0.5000 0.0000 0.2576
La 0.0000 0.5000 0.7424
Ga 0.5000 0.5000 0.0000
Ga 0.0000 0.0000 0.0000
Ga 0.5000 0.0000 0.6213
Ga 0.0000 0.5000 0.3787
Ni 0.5000 0.5000 0.5000
Rh 0.0000 0.0000 0.5000
Rh 0.5000 0.0000 0.8678
Rh 0.0000 0.5000 0.1322

Summary:
* crystal system: tetragonal
* raw total energy: -5.7243 eV/atom

Record 4
# La2Ga3Ni12Rh

An optimized crystal structure of La2Ga3Ni12Rh (PBE, the Alexandria database).

abc: 9.3654 9.3654 9.3654
angles: 37.96 37.96 37.96
Sites, in units of the cell vectors:
La 0.6544 0.6544 0.6544
La 0.3456 0.3456 0.3456
Ga 0.5000 0.0000 0.0000
Ga 0.0000 0.5000 0.0000
Ga 0.0000 0.0000 0.5000
Ni 0.4182 0.4182 0.8091
Ni 0.9348 0.9348 0.3516
Ni 0.3516 0.9348 0.9348
Ni 0.8091 0.4182 0.4182
Ni 0.9348 0.3516 0.9348
Ni 0.4182 0.8091 0.4182
Ni 0.5818 0.5818 0.1909
Ni 0.0652 0.0652 0.6484
Ni 0.6484 0.0652 0.0652
Ni 0.1909 0.5818 0.5818
Ni 0.0652 0.6484 0.0652
Ni 0.5818 0.1909 0.5818
Rh 0.0000 0.0000 0.0000

Summary:
* crystal system: trigonal
* raw total energy: -5.3168 eV/atom

Record 5
# LaGa2Ni2Ru

An optimized crystal structure of LaGa2Ni2Ru (PBE, the Alexandria database).

abc: 4.6981 4.6981 5.2836
angles: 90.00 90.00 90.00
Sites, in units of the cell vectors:
La 0.0000 0.0000 0.5000
Ga 0.5000 0.0000 0.0000
Ga 0.0000 0.5000 0.0000
Ni 0.5000 0.5000 0.7576
Ni 0.5000 0.5000 0.2424
Ru 0.0000 0.0000 0.0000

Summary:
* crystal system: tetragonal
* raw total energy: -5.3773 eV/atom

Record 6
# LaGa3NiRu

An optimized crystal structure of LaGa3NiRu (PBE, the Alexandria database).

abc: 5.9847 7.4603 6.5641
angles: 124.63 90.00 90.00
Sites, in units of the cell vectors:
La 0.7500 0.2303 0.4607
La 0.2500 0.7697 0.5393
Ga 0.2500 0.2815 0.5631
Ga 0.0000 0.2520 0.0000
Ga 0.5000 0.7480 0.0000
Ga 0.5000 0.2520 0.0000
Ga 0.0000 0.7480 0.0000
Ga 0.7500 0.7185 0.4369
Ni 0.2500 0.4904 0.9808
Ni 0.7500 0.5096 0.0192
Ru 0.2500 0.0633 0.1267
Ru 0.7500 0.9367 0.8733

Summary:
* crystal system: orthorhombic
* raw total energy: -5.2123 eV/atom

Record 7
# La2GaNiSb

An optimized crystal structure of La2GaNiSb (PBE, the Alexandria database).

abc: 5.4267 5.4267 4.5687
angles: 90.00 90.00 90.00
Sites, in units of the cell vectors:
Sb 0.5000 0.5000 0.5000
Ni 0.0000 0.0000 0.0000
Ga 0.0000 0.0000 0.5000
La 0.0000 0.5000 0.0000
La 0.5000 0.0000 0.0000

Summary:
* crystal system: tetragonal
* raw total energy: -5.2413 eV/atom

Record 8
# La2GaNi4Sb3

An optimized crystal structure of La2GaNi4Sb3 (PBE, the Alexandria database).

abc: 4.4015 4.4015 10.1578
angles: 90.00 90.00 90.00
Sites, in units of the cell vectors:
La 0.5000 0.0000 0.2469
La 0.0000 0.5000 0.7531
Ga 0.5000 0.5000 0.5000
Ni 0.5000 0.5000 0.0000
Ni 0.0000 0.0000 0.0000
Ni 0.5000 0.0000 0.6203
Ni 0.0000 0.5000 0.3797
Sb 0.0000 0.0000 0.5000
Sb 0.5000 0.0000 0.8697
Sb 0.0000 0.5000 0.1303

Summary:
* crystal system: tetragonal
* raw total energy: -5.5524 eV/atom

Question: Number 1 is which compound?
Answer: LaGa3NiRh

Question: The highest raw total energy belongs to which entry?
Answer: LaGa3NiRh

Question: Look up the raw total energy of the seventh one.
Answer: -5.2413 eV/atom